Record 1
{"formula": "GaHgGePb", "functional": "PBE", "state": "relaxed", "lattice_angstrom": [[5.162, 0.000, 0.000], [2.581, 4.471, 0.000], [2.581, 1.490, 4.215]], "species": ["Pb", "Ge", "Hg", "Ga"], "fractional_positions": [[0.500, 0.500, 0.500], [0.750, 0.750, 0.750], [0.250, 0.250, 0.250], [0.000, 0.000, 0.000]], "e_tot_ev_per_cell": -10.97, "ef_kcal_per_mol_atoms": 3.97, "volume_a3_per_cell": 97}

=====

Record 2
{"formula": "Sr2LaCl", "functional": "PBE", "state": "relaxed", "lattice_angstrom": [[-0.084, -0.018, 3.905], [-0.645, -6.476, -0.043], [6.475, -0.646, 0.137]], "species": ["Cl", "La", "Sr", "Sr"], "fractional_positions": [[0.500, 0.500, 0.000], [0.500, 0.000, 0.500], [0.000, 0.000, 0.000], [0.000, 0.500, 0.500]], "polymorph_energy_ev_per_atom": 0.4636, "e_tot_ev_per_cell": -11.48, "volume_a3_per_cell": 165, "e_form_raw_mev_per_atom": -335}

=====

Record 3
{"formula": "TaTeAs", "functional": "PBE", "state": "relaxed", "lattice_angstrom": [[-0.097, 1.651, 3.225], [-1.621, -3.211, -0.441], [5.360, -2.935, 1.663]], "species": ["As", "Te", "Ta"], "fractional_positions": [[0.000, 0.000, 0.073], [0.333, 0.667, 0.615], [0.667, 0.333, 0.312]], "e_tot_ev_per_cell": -20.38, "volume_a3_per_cell": 72, "e_form_raw_mev_per_atom": -244}

=====

Record 4
{"formula": "Ca2Zn3CdAu6", "functional": "PBE", "state": "relaxed", "lattice_angstrom": [[-2.871, 2.033, -1.927], [-2.741, -1.468, 2.534], [2.581, 13.957, 10.880]], "species": ["Ca", "Ca", "Zn", "Zn", "Zn", "Cd", "Au", "Au", "Au", "Au", "Au", "Au"], "fractional_positions": [[0.500, 0.500, 0.203], [0.500, 0.500, 0.797], [0.000, 0.000, 0.283], [0.000, 0.000, 0.717], [0.000, 0.000, 0.000], [0.500, 0.500, 0.500], [0.000, 0.500, 0.621], [0.500, 0.000, 0.379], [0.500, 0.000, 0.621], [0.000, 0.000, 0.140], [0.000, 0.500, 0.379], [0.000, 0.000, 0.860]], "e_tot_ev_per_cell": -31.68, "ef_kcal_per_mol_atoms": -6.30, "volume_a3_per_cell": 288}

=====

Record 5
{"formula": "ScAs", "functional": "PBE", "state": "relaxed", "lattice_angstrom": [[0.655, -1.888, -5.040], [2.716, 1.146, -4.550], [5.820, -3.881, -0.448]], "species": ["Sc", "Sc", "Sc", "As", "As", "As"], "fractional_positions": [[0.654, 0.654, 0.684], [0.978, 0.978, 0.397], [0.802, 0.802, 0.032], [0.083, 0.083, 0.994], [0.261, 0.261, 0.355], [0.388, 0.388, 0.705]], "e_tot_ev_per_cell": -39.55, "ef_kcal_per_mol_atoms": -25.38, "volume_a3_per_cell": 123}

=====

Record 6
{"formula": "CdSe2O", "functional": "PBE", "state": "relaxed", "lattice_angstrom": [[-3.604, -1.993, -2.103], [-4.264, 0.551, 1.701], [-3.078, 2.598, -2.272]], "species": ["O", "Se", "Se", "Cd"], "fractional_positions": [[0.000, 0.000, 0.000], [0.250, 0.250, 0.250], [0.750, 0.750, 0.750], [0.500, 0.500, 0.500]], "polymorph_energy_ev_per_atom": 0.5454, "e_tot_ev_per_cell": -10.76, "volume_a3_per_cell": 70, "e_form_raw_mev_per_atom": 520}